VASP calculation (PBE) on a geometry-optimized ZnBr2O6 structure.

- E above lowest polymorph (eV per atom) = 0.122
- crystal system = trigonal
- calculated total energy (Ry per atom) = -0.262

Unit cell a=5.1050 b=5.1050 c=4.4935 alpha=90.00 beta=90.00 gamma=120.00
Space group P-31m (No. 162)
Symmetry-distinct sites (fractional):
1 Zn 0.0000 0.0000 0.0000 (multiplicity 1)
2 Br 0.3333 0.6667 0.5000 (multiplicity 2)
3 O 0.0000 0.3497 0.2512 (multiplicity 6)